[1]
The following is a PBE calculation of PrTmSi2 after structural relaxation, from Alexandria.

Structure (extended XYZ):
```
4
Lattice="3.8810 0.0000 0.0000 0.0000 2.1846 5.3721 0.0000 -2.1846 5.3721" Properties=species:S:1:pos:R:3 pbc="T T T"
Pr 0.0000 0.0000 0.0000
Tm 1.9405 0.0000 3.0058
Si 0.0000 0.0000 7.7159
Si 1.9405 0.0000 6.1285
```

**Total magnetic moment**: 0.000 μB/f.u.
**Total energy**: -5.769 eV/atom
**Space-group type**: Amm2, No. 38
**DOS at the Fermi energy**: 3.0 states/eV/cell

[2]
The following is a PBE calculation of MnIrS2Cl after structural relaxation, from Alexandria.

Structure (extended XYZ):
```
5
Lattice="4.3450 0.0000 0.0000 0.0000 4.3450 0.0000 0.0000 0.0000 4.5199" Properties=species:S:1:pos:R:3 pbc="T T T"
Mn 0.0000 0.0000 0.0000
Ir 2.1725 2.1725 2.2600
S 0.0000 2.1725 0.0000
S 2.1725 0.0000 0.0000
Cl 0.0000 0.0000 2.2600
```

**Total magnetic moment**: 1.242 μB/f.u.
**Total energy**: -4.710 eV/atom
**Space-group type**: P4/mmm, No. 123
**DOS at the Fermi energy**: 6.2 states/eV/cell

[3]
The following is a PBE calculation of Dy3PbSeO after structural relaxation, from Alexandria.

Structure (extended XYZ):
```
12
Lattice="8.8820 0.0000 0.0000 0.0000 3.9912 0.0000 -1.8920 0.0000 8.7456" Properties=species:S:1:pos:R:3 pbc="T T T"
Dy 0.0488 0.9978 2.9682
Dy 1.1573 0.9978 8.6027
Dy 2.2575 2.9934 5.6562
Dy 4.7325 0.9978 3.0894
Dy 5.8327 2.9934 0.1429
Dy 6.9412 2.9934 5.7774
Pb 2.3360 2.9934 2.4045
Pb 4.6540 0.9978 6.3411
Se 0.1225 0.9978 5.8215
Se 6.8675 2.9934 2.9241
O 1.9445 2.9934 7.9120
O 5.0455 0.9978 0.8336
```

**Total magnetic moment**: 0.000 μB/f.u.
**Total energy**: -6.051 eV/atom
**Space-group type**: P2_1/m, No. 11
**DOS at the Fermi energy**: 4.0 states/eV/cell

[4]
The following is a PBE calculation of EuYPuMg after structural relaxation, from Alexandria.

Structure (extended XYZ):
```
4
Lattice="0.0000 3.9382 3.9382 3.9382 0.0000 3.9382 3.9382 3.9382 0.0000" Properties=species:S:1:pos:R:3 pbc="T T T"
Eu 0.0000 0.0000 0.0000
Y 3.9382 3.9382 3.9382
Pu 1.9691 1.9691 1.9691
Mg 5.9072 5.9072 5.9072
```

**Total magnetic moment**: 0.676 μB/f.u.
**Space-group type**: F-43m, No. 216
**Formation energy from the elements**: 0.23 eV/atom
**DOS at the Fermi energy**: 17.9 states/eV/cell

[5]
The following is a PBE calculation of BaTeN2O after structural relaxation, from Alexandria.

Structure (extended XYZ):
```
5
Lattice="4.7224 0.0000 0.0000 0.0000 4.7224 0.0000 0.0000 0.0000 4.1788" Properties=species:S:1:pos:R:3 pbc="T T T"
Ba 0.0000 0.0000 0.0000
Te 2.3612 2.3612 0.0000
N 0.0000 2.3612 2.0894
N 2.3612 0.0000 2.0894
O 2.3612 2.3612 2.0894
```

**Total magnetic moment**: 2.358 μB/f.u.
**Total energy**: -4.190 eV/atom
**Space-group type**: P4/mmm, No. 123
**DOS at the Fermi energy**: 3.8 states/eV/cell

[6]
The following is a PBE calculation of Pm2Pr2Ho5 after structural relaxation, from Alexandria.

Structure (extended XYZ):
```
9
Lattice="10.8208 -1.7528 0.0000 10.8208 1.7528 0.0000 -1.4364 0.0000 8.2079" Properties=species:S:1:pos:R:3 pbc="T T T"
Pm 0.4868 0.0000 2.9155
Pm 19.7184 0.0000 5.2925
Pr 5.5872 0.0000 7.0248
Pr 14.6180 0.0000 1.1831
Ho 3.3609 0.0000 4.3111
Ho 8.2854 0.0000 2.1471
Ho 10.8208 0.0000 0.0000
Ho 11.9198 0.0000 6.0608
Ho 16.8442 0.0000 3.8968
```

**Total magnetic moment**: 0.000 μB/f.u.
**Space-group type**: C2/m, No. 12
**Formation energy from the elements**: 0.23 eV/atom
**DOS at the Fermi energy**: 13.0 states/eV/cell

[7]
The following is a PBE calculation of SnRu3W after structural relaxation, from Alexandria.

Structure (extended XYZ):
```
5
Lattice="4.7127 0.0000 0.0000 0.0000 4.7127 0.0000 0.0000 0.0000 4.7127" Properties=species:S:1:pos:R:3 pbc="T T T"
Sn 0.0000 0.0000 0.0000
Ru 0.0000 0.0000 2.3564
Ru 0.0000 2.3564 0.0000
Ru 2.3564 0.0000 0.0000
W 2.3564 2.3564 2.3564
```

**Total magnetic moment**: 1.043 μB/f.u.
**Space-group type**: Pm-3m, No. 221
**Formation energy from the elements**: 2.27 eV/atom
**DOS at the Fermi energy**: 13.3 states/eV/cell

[8]
The following is a PBE calculation of BaNb3Au after structural relaxation, from Alexandria.

Structure (extended XYZ):
```
5
Lattice="5.0152 0.0000 0.0000 0.0000 5.0152 0.0000 0.0000 0.0000 5.0152" Properties=species:S:1:pos:R:3 pbc="T T T"
Ba 0.0000 0.0000 0.0000
Nb 0.0000 0.0000 2.5076
Nb 0.0000 2.5076 0.0000
Nb 2.5076 0.0000 0.0000
Au 2.5076 2.5076 2.5076
```

**Total magnetic moment**: 0.000 μB/f.u.
**Space-group type**: Pm-3m, No. 221
**Formation energy from the elements**: 2.44 eV/atom
**DOS at the Fermi energy**: 3.3 states/eV/cell